No. 1
Here is a relaxed MgCdCuSi crystal from OQMD. Energies are from PBE-GGA.

The structure in CIF format:
```
data_MgCdCuSi
_chemical_formula_sum 'Mg4 Cd4 Cu4 Si4'
_cell_length_a 6.477
_cell_length_b 6.477
_cell_length_c 6.477
_cell_angle_alpha 90.00
_cell_angle_beta 90.00
_cell_angle_gamma 90.00
_symmetry_space_group_name_H-M 'F -4 3 m'
_symmetry_Int_Tables_number 216
_symmetry_space_group_name_Hall 'F -4 2 3'
loop_
_atom_site_label
_atom_site_fract_x
_atom_site_fract_y
_atom_site_fract_z
Mg1 0.000 0.000 0.000
Cd1 0.250 0.250 0.750
Cu1 0.000 0.000 0.500
Si1 0.250 0.250 0.250
```

Properties
Energy above the most stable polymorph in this dataset = 0.000 eV/atom
Crystal system = cubic
E_tot = -43.2 eV/cell

***

No. 2
Here is a relaxed MgTlCdCu crystal from OQMD. Energies are from PBE-GGA.

The structure in CIF format:
```
data_MgTlCdCu
_chemical_formula_sum 'Mg4 Tl4 Cd4 Cu4'
_cell_length_a 6.854
_cell_length_b 6.854
_cell_length_c 6.854
_cell_angle_alpha 90.00
_cell_angle_beta 90.00
_cell_angle_gamma 90.00
_symmetry_space_group_name_H-M 'F -4 3 m'
_symmetry_Int_Tables_number 216
_symmetry_space_group_name_Hall 'F -4 2 3'
loop_
_atom_site_label
_atom_site_fract_x
_atom_site_fract_y
_atom_site_fract_z
Mg1 0.000 0.000 0.000
Tl1 0.250 0.250 0.250
Cd1 0.250 0.250 0.750
Cu1 0.000 0.000 0.500
```

Properties
Energy above the most stable polymorph in this dataset = 0.000 eV/atom
Crystal system = cubic
E_tot = -32.1 eV/cell

***

No. 3
Here is a relaxed Y3Mg3CdCu2 crystal from OQMD. Energies are from PBE-GGA.

The structure in CIF format:
```
data_Y3Mg3CdCu2
_chemical_formula_sum 'Y3 Mg3 Cd1 Cu2'
_cell_length_a 7.5516
_cell_length_b 7.5516
_cell_length_c 4.1328
_cell_angle_alpha 90.00
_cell_angle_beta 90.00
_cell_angle_gamma 120.00
_symmetry_space_group_name_H-M 'P -6 2 m'
_symmetry_Int_Tables_number 189
_symmetry_space_group_name_Hall 'P -6 -2'
loop_
_atom_site_label
_atom_site_fract_x
_atom_site_fract_y
_atom_site_fract_z
Y1 0.0000 0.5782 0.0000
Mg1 0.0000 0.2568 0.5000
Cd1 0.0000 0.0000 0.0000
Cu1 0.3333 0.6667 0.5000
```

Properties
Crystal system = hexagonal
E_tot = -34.3 eV/cell

***

No. 4
Here is a relaxed Y3Mg3ZnCdCu crystal from OQMD. Energies are from PBE-GGA.

The structure in CIF format:
```
data_Y3Mg3ZnCdCu
_chemical_formula_sum 'Y3 Mg3 Zn1 Cd1 Cu1'
_cell_length_a 7.6144
_cell_length_b 7.6144
_cell_length_c 4.1392
_cell_angle_alpha 90.00
_cell_angle_beta 90.00
_cell_angle_gamma 120.00
_symmetry_space_group_name_H-M 'P -6'
_symmetry_Int_Tables_number 174
loop_
_symmetry_equiv_pos_as_xyz
'x,y,z'
'-x+y,-x,-z'
'-y,x-y,z'
'x,y,-z'
'-x+y,-x,z'
'-y,x-y,-z'
loop_
_atom_site_label
_atom_site_fract_x
_atom_site_fract_y
_atom_site_fract_z
Y1 0.0132 0.6027 0.0000
Mg1 0.0003 0.2388 0.5000
Zn1 0.3333 0.6667 0.5000
Cd1 0.6667 0.3333 0.5000
Cu1 0.0000 0.0000 0.0000
```

Properties
Crystal system = hexagonal
E_tot = -32.3 eV/cell

***

No. 5
Here is a relaxed CdCuSbMo crystal from OQMD. Energies are from PBE-GGA.

The structure in CIF format:
```
data_CdCuSbMo
_chemical_formula_sum 'Cd4 Cu4 Sb4 Mo4'
_cell_length_a 6.575
_cell_length_b 6.575
_cell_length_c 6.575
_cell_angle_alpha 90.00
_cell_angle_beta 90.00
_cell_angle_gamma 90.00
_symmetry_space_group_name_H-M 'F -4 3 m'
_symmetry_Int_Tables_number 216
_symmetry_space_group_name_Hall 'F -4 2 3'
loop_
_atom_site_label
_atom_site_fract_x
_atom_site_fract_y
_atom_site_fract_z
Cd1 0.000 0.000 0.000
Cu1 0.250 0.250 0.750
Sb1 0.000 0.000 0.500
Mo1 0.250 0.250 0.250
```

Properties
Energy above the most stable polymorph in this dataset = 0.000 eV/atom
Crystal system = cubic
E_tot = -70.5 eV/cell

***

No. 6
Here is a relaxed CdCuSnMo crystal from OQMD. Energies are from PBE-GGA.

The structure in CIF format:
```
data_CdCuSnMo
_chemical_formula_sum 'Cd4 Cu4 Sn4 Mo4'
_cell_length_a 6.561
_cell_length_b 6.561
_cell_length_c 6.561
_cell_angle_alpha 90.00
_cell_angle_beta 90.00
_cell_angle_gamma 90.00
_symmetry_space_group_name_H-M 'F -4 3 m'
_symmetry_Int_Tables_number 216
_symmetry_space_group_name_Hall 'F -4 2 3'
loop_
_atom_site_label
_atom_site_fract_x
_atom_site_fract_y
_atom_site_fract_z
Cd1 0.000 0.000 0.000
Cu1 0.250 0.250 0.750
Sn1 0.000 0.000 0.500
Mo1 0.250 0.250 0.250
```

Properties
Energy above the most stable polymorph in this dataset = 0.000 eV/atom
Crystal system = cubic
E_tot = -70.4 eV/cell

***

No. 7
Here is a relaxed ZnCdCuMo crystal from OQMD. Energies are from PBE-GGA.

The structure in CIF format:
```
data_ZnCdCuMo
_chemical_formula_sum 'Zn4 Cd4 Cu4 Mo4'
_cell_length_a 6.340
_cell_length_b 6.340
_cell_length_c 6.340
_cell_angle_alpha 90.00
_cell_angle_beta 90.00
_cell_angle_gamma 90.00
_symmetry_space_group_name_H-M 'F -4 3 m'
_symmetry_Int_Tables_number 216
_symmetry_space_group_name_Hall 'F -4 2 3'
loop_
_atom_site_label
_atom_site_fract_x
_atom_site_fract_y
_atom_site_fract_z
Zn1 0.000 0.000 0.000
Cd1 0.000 0.000 0.500
Cu1 0.250 0.250 0.250
Mo1 0.250 0.250 0.750
```

Properties
DFT formation energy = 0.467 eV/atom
Energy above the most stable polymorph in this dataset = 0.000 eV/atom
Crystal system = cubic
E_tot = -59.4 eV/cell

***

No. 8
Here is a relaxed Nb4CdCuN2 crystal from OQMD. Energies are from PBE-GGA.

The structure in CIF format:
```
data_Nb4CdCuN2
_chemical_formula_sum 'Nb4 Cd1 Cu1 N2'
_cell_length_a 3.1612
_cell_length_b 3.1612
_cell_length_c 13.6836
_cell_angle_alpha 90.00
_cell_angle_beta 90.00
_cell_angle_gamma 120.00
_symmetry_space_group_name_H-M 'P -6 m 2'
_symmetry_Int_Tables_number 187
_symmetry_space_group_name_Hall 'P -6 2'
loop_
_atom_site_label
_atom_site_fract_x
_atom_site_fract_y
_atom_site_fract_z
Nb1 0.0000 0.0000 0.1503
Nb2 0.3333 0.6667 0.3210
Cd1 0.0000 0.0000 0.5000
Cu1 0.3333 0.6667 0.0000
N1 0.6667 0.3333 0.2356
```

Properties
Crystal system = hexagonal
E_tot = -65.3 eV/cell

***

No. 9
Here is a relaxed Ta4CdCuN2 crystal from OQMD. Energies are from PBE-GGA.

The structure in CIF format:
```
data_Ta4CdCuN2
_chemical_formula_sum 'Ta4 Cd1 Cu1 N2'
_cell_length_a 3.1254
_cell_length_b 3.1254
_cell_length_c 13.7205
_cell_angle_alpha 90.00
_cell_angle_beta 90.00
_cell_angle_gamma 120.00
_symmetry_space_group_name_H-M 'P -6 m 2'
_symmetry_Int_Tables_number 187
_symmetry_space_group_name_Hall 'P -6 2'
loop_
_atom_site_label
_atom_site_fract_x
_atom_site_fract_y
_atom_site_fract_z
Ta1 0.0000 0.0000 0.1498
Ta2 0.6667 0.3333 0.3221
Cd1 0.0000 0.0000 0.5000
Cu1 0.6667 0.3333 0.0000
N1 0.3333 0.6667 0.2356
```

Properties
Crystal system = hexagonal
E_tot = -72.1 eV/cell

***

No. 10
Here is a relaxed CdCuW4N2 crystal from OQMD. Energies are from PBE-GGA.

The structure in CIF format:
```
data_CdCuW4N2
_chemical_formula_sum 'Cd1 Cu1 W4 N2'
_cell_length_a 2.8377
_cell_length_b 2.8377
_cell_length_c 15.1865
_cell_angle_alpha 90.00
_cell_angle_beta 90.00
_cell_angle_gamma 120.00
_symmetry_space_group_name_H-M 'P -6 m 2'
_symmetry_Int_Tables_number 187
_symmetry_space_group_name_Hall 'P -6 2'
loop_
_atom_site_label
_atom_site_fract_x
_atom_site_fract_y
_atom_site_fract_z
Cd1 0.0000 0.0000 0.0000
Cu1 0.6667 0.3333 0.5000
W1 0.0000 0.0000 0.3556
W2 0.6667 0.3333 0.1660
N1 0.3333 0.6667 0.2600
```

Properties
Crystal system = hexagonal
E_tot = -71.3 eV/cell

***

No. 11
Here is a relaxed Nb2CdCu crystal from OQMD. Energies are from PBE-GGA.

The structure in CIF format:
```
data_Nb2CdCu
_chemical_formula_sum 'Nb8 Cd4 Cu4'
_cell_length_a 6.545
_cell_length_b 6.545
_cell_length_c 6.545
_cell_angle_alpha 90.00
_cell_angle_beta 90.00
_cell_angle_gamma 90.00
_symmetry_space_group_name_H-M 'F -4 3 m'
_symmetry_Int_Tables_number 216
_symmetry_space_group_name_Hall 'F -4 2 3'
loop_
_atom_site_label
_atom_site_fract_x
_atom_site_fract_y
_atom_site_fract_z
Nb1 0.000 0.000 0.000
Nb2 0.250 0.250 0.250
Cd1 0.250 0.250 0.750
Cu1 0.000 0.000 0.500
```

Properties
DFT formation energy = 0.494 eV/atom
Crystal system = cubic
E_tot = -91.3 eV/cell

***

No. 12
Here is a relaxed NbCd2Cu crystal from OQMD. Energies are from PBE-GGA.

The structure in CIF format:
```
data_NbCd2Cu
_chemical_formula_sum 'Nb4 Cd8 Cu4'
_cell_length_a 6.538
_cell_length_b 6.538
_cell_length_c 6.538
_cell_angle_alpha 90.00
_cell_angle_beta 90.00
_cell_angle_gamma 90.00
_symmetry_space_group_name_H-M 'F -4 3 m'
_symmetry_Int_Tables_number 216
_symmetry_space_group_name_Hall 'F -4 2 3'
loop_
_atom_site_label
_atom_site_fract_x
_atom_site_fract_y
_atom_site_fract_z
Nb1 0.000 0.000 0.000
Cd1 0.000 0.000 0.500
Cd2 0.250 0.250 0.750
Cu1 0.250 0.250 0.250
```

Properties
DFT formation energy = 0.345 eV/atom
Crystal system = cubic
E_tot = -56.9 eV/cell

***

No. 13
Here is a relaxed NbCdCuPd crystal from OQMD. Energies are from PBE-GGA.

The structure in CIF format:
```
data_NbCdCuPd
_chemical_formula_sum 'Nb4 Cd4 Cu4 Pd4'
_cell_length_a 6.383
_cell_length_b 6.383
_cell_length_c 6.383
_cell_angle_alpha 90.00
_cell_angle_beta 90.00
_cell_angle_gamma 90.00
_symmetry_space_group_name_H-M 'F -4 3 m'
_symmetry_Int_Tables_number 216
_symmetry_space_group_name_Hall 'F -4 2 3'
loop_
_atom_site_label
_atom_site_fract_x
_atom_site_fract_y
_atom_site_fract_z
Nb1 0.000 0.000 0.000
Cd1 0.000 0.000 0.500
Cu1 0.250 0.250 0.750
Pd1 0.250 0.250 0.250
```

Properties
DFT formation energy = -0.057 eV/atom
Energy above the most stable polymorph in this dataset = 0.000 eV/atom
Crystal system = cubic
E_tot = -80.4 eV/cell

***

No. 14
Here is a relaxed NbCdCuPd crystal from OQMD. Energies are from PBE-GGA.

The structure in CIF format:
```
data_NbCdCuPd
_chemical_formula_sum 'Nb4 Cd4 Cu4 Pd4'
_cell_length_a 6.396
_cell_length_b 6.396
_cell_length_c 6.396
_cell_angle_alpha 90.00
_cell_angle_beta 90.00
_cell_angle_gamma 90.00
_symmetry_space_group_name_H-M 'F -4 3 m'
_symmetry_Int_Tables_number 216
_symmetry_space_group_name_Hall 'F -4 2 3'
loop_
_atom_site_label
_atom_site_fract_x
_atom_site_fract_y
_atom_site_fract_z
Nb1 0.000 0.000 0.000
Cd1 0.250 0.250 0.750
Cu1 0.000 0.000 0.500
Pd1 0.250 0.250 0.250
```

Properties
DFT formation energy = 0.078 eV/atom
Energy above the most stable polymorph in this dataset = 0.135 eV/atom
Crystal system = cubic
E_tot = -78.3 eV/cell